(1)
Crystalline Sr2SmTcN4 at its relaxed geometry. Source: the Alexandria database, functional PBE.

a b c (Å): 7.8135 7.1301 5.3495
angles (deg): 90.00 90.00 90.00
Last column: nearest neighbours and their distance in Å.
Positions (direct):
Sr1 0.2466 0.1580 0.0000  3 N 2.40-2.65
Sr2 0.2534 0.8420 0.5000  3 N 2.40-2.65
Sr3 0.7466 0.8420 0.5000  3 N 2.40-2.65
Sr4 0.7534 0.1580 0.0000  3 N 2.40-2.65
Sm1 0.0000 0.3603 0.4995  3 N 2.21-2.46
Sm2 0.5000 0.6397 0.9995  3 N 2.21-2.46
Tc1 0.0000 0.6589 0.0566  4 N 1.88-1.95
Tc2 0.5000 0.3411 0.5566  4 N 1.88-1.95
N1 0.0000 0.3888 0.0058  1 Tc 1.95
N2 0.0000 0.6632 0.4102  1 Tc 1.89
N3 0.2106 0.7735 0.9834  1 Tc 1.88
N4 0.2894 0.2265 0.4834  1 Tc 1.88
N5 0.5000 0.3368 0.9102  1 Tc 1.89
N6 0.5000 0.6112 0.5058  1 Tc 1.95
N7 0.7106 0.2265 0.4834  1 Tc 1.88
N8 0.7894 0.7735 0.9834  1 Tc 1.88

- symmetry = Pmn2_1
- DFT total energy (eV/cell) = -114.38



(2)
Crystalline SrSm3Th2N6 at its relaxed geometry. Source: the Alexandria database, functional PBE.

a b c (Å): 8.1095 8.1095 7.3138
angles (deg): 103.04 103.04 26.03
Last column: nearest neighbours and their distance in Å.
Positions (direct):
Sr1 0.0000 0.0000 0.0000  6 N 2.67-2.68
Sm1 0.0000 0.0000 0.5000  6 N 2.50-2.60
Sm2 0.3344 0.3344 0.1648  6 N 2.47-2.65
Sm3 0.6656 0.6656 0.8352  6 N 2.47-2.65
Th1 0.3356 0.3356 0.6702  6 N 2.43-2.57
Th2 0.6644 0.6644 0.3298  6 N 2.43-2.57
N1 0.1694 0.1694 0.5793  3 Th 2.56-2.57, 3 Sm 2.60-2.63
N2 0.1737 0.1737 0.0948  3 Sm 2.47-2.62, 2 Th 2.54, 1 Sr 2.67
N3 0.4932 0.4932 0.7288  1 Th 2.43, 3 Sm 2.50-2.65, 2 Sr 2.68
N4 0.5068 0.5068 0.2712  1 Th 2.43, 3 Sm 2.50-2.65, 2 Sr 2.68
N5 0.8263 0.8263 0.9052  3 Sm 2.47-2.62, 2 Th 2.54, 1 Sr 2.67
N6 0.8306 0.8306 0.4207  3 Th 2.56-2.57, 3 Sm 2.60-2.63

- symmetry = C2/m
- DFT total energy (eV/cell) = -97.77